## i
A relaxed Ca2GaH crystal, computed with PBE-GGA.

Output
- volume (Å³/atom) = 22.76
- DOS(E_F) (states/eV per cell) = 2.50

abc: 5.049 5.049 5.049
angles: 60.00 60.00 60.00
Atoms (fractional coordinates):
Ca 0.250 0.250 0.250
Ca 0.750 0.750 0.750
Ga 0.000 0.000 0.000
H 0.500 0.500 0.500

=====

## ii
A relaxed Ca2GaH crystal, computed with PBE-GGA.

Output
- volume (Å³/atom) = 23.04
- DOS(E_F) (states/eV per cell) = 1.52

abc: 3.789 3.362 7.237
angles: 90.00 90.16 90.00
Atoms (fractional coordinates):
Ca 0.002 0.000 0.256
Ca 0.998 0.000 0.744
Ga 0.500 0.500 0.000
H 0.000 0.500 0.500

=====

## iii
A relaxed Ca2GaH crystal, computed with PBE-GGA.

Output
- volume (Å³/atom) = 23.14
- DOS(E_F) (states/eV per cell) = 1.87

abc: 6.232 6.232 6.232
angles: 112.12 112.12 104.30
Atoms (fractional coordinates):
Ca 0.033 0.625 0.908
Ca 0.375 0.283 0.408
Ca 0.717 0.125 0.092
Ca 0.875 0.967 0.592
Ga 0.250 0.750 0.500
Ga 0.500 0.500 0.000
H 0.000 0.000 0.000
H 0.750 0.250 0.500

=====

The energy of each structure relative to the most stable one, in eV/atom, is as follows: i 0.326; ii 0.000; iii 0.056.

=====

## i
A relaxed Ca3GaH crystal, computed with PBE-GGA.

Output
- volume (Å³/atom) = 23.30
- DOS(E_F) (states/eV per cell) = 2.31

abc: 4.884 4.884 4.884
angles: 90.00 90.00 90.00
Atoms (fractional coordinates):
Ca 0.000 0.000 0.500
Ca 0.000 0.500 0.000
Ca 0.500 0.000 0.000
Ga 0.500 0.500 0.500
H 0.000 0.000 0.000

=====

## ii
A relaxed Ca3GaH crystal, computed with PBE-GGA.

Output
- volume (Å³/atom) = 26.10
- DOS(E_F) (states/eV per cell) = 6.26

abc: 7.711 3.643 9.295
angles: 90.00 90.78 90.00
Atoms (fractional coordinates):
Ca 0.083 0.250 0.327
Ca 0.279 0.250 0.975
Ca 0.349 0.750 0.609
Ca 0.651 0.250 0.391
Ca 0.721 0.750 0.025
Ca 0.917 0.750 0.673
Ga 0.387 0.750 0.241
Ga 0.613 0.250 0.759
H 0.114 0.250 0.581
H 0.886 0.750 0.419

=====

The energy of each structure relative to the most stable one, in eV/atom, is as follows: i 0.000; ii 0.011.

=====

## i
A relaxed CaGaH2 crystal, computed with PBE-GGA.

Output
- volume (Å³/atom) = 14.29
- DOS(E_F) (states/eV per cell) = 1.78

abc: 6.487 6.487 6.487
angles: 139.44 139.44 58.70
Atoms (fractional coordinates):
Ca 0.000 0.000 0.000
Ca 0.750 0.250 0.500
Ga 0.250 0.750 0.500
Ga 0.500 0.500 0.000
H 0.180 0.625 0.055
H 0.375 0.430 0.555
H 0.570 0.125 0.945
H 0.875 0.820 0.445

=====

## ii
A relaxed CaGaH2 crystal, computed with PBE-GGA.

Output
- volume (Å³/atom) = 13.15
- DOS(E_F) (states/eV per cell) = 2.68

abc: 4.206 4.206 4.206
angles: 60.00 60.00 60.00
Atoms (fractional coordinates):
Ca 0.000 0.000 0.000
Ga 0.500 0.500 0.500
H 0.250 0.250 0.250
H 0.750 0.750 0.750

=====

The energy of each structure relative to the most stable one, in eV/atom, is as follows: i 0.000; ii 0.074.

=====

## i
A relaxed CaGa3H crystal, computed with PBE-GGA.

Output
- volume (Å³/atom) = 39.51
- DOS(E_F) (states/eV per cell) = 6.85

abc: 5.824 5.824 5.824
angles: 90.00 90.00 90.00
Atoms (fractional coordinates):
Ca 0.000 0.000 0.000
Ga 0.000 0.000 0.500
Ga 0.000 0.500 0.000
Ga 0.500 0.000 0.000
H 0.500 0.500 0.500

=====

## ii
A relaxed CaGa3H crystal, computed with PBE-GGA.

Output
- volume (Å³/atom) = 17.49
- DOS(E_F) (states/eV per cell) = 3.55

abc: 4.439 4.439 4.439
angles: 90.00 90.00 90.00
Atoms (fractional coordinates):
Ca 0.000 0.000 0.000
Ga 0.000 0.500 0.500
Ga 0.500 0.000 0.500
Ga 0.500 0.500 0.000
H 0.500 0.500 0.500

=====

The energy of each structure relative to the most stable one, in eV/atom, is as follows: i 1.197; ii 0.000.

=====

## i
A relaxed LiCa2GaH crystal, computed with PBE-GGA.

Output
- volume (Å³/atom) = 20.98
- DOS(E_F) (states/eV per cell) = 2.67

abc: 5.136 5.136 3.977
angles: 90.00 90.00 90.00
Atoms (fractional coordinates):
Li 0.000 0.000 0.000
Ca 0.000 0.500 0.500
Ca 0.500 0.000 0.500
Ga 0.500 0.500 0.000
H 0.500 0.500 0.500

=====

## ii
A relaxed LiCa2GaH crystal, computed with PBE-GGA.

Output
- volume (Å³/atom) = 20.04
- DOS(E_F) (states/eV per cell) = 1.70

abc: 5.073 5.073 3.894
angles: 90.00 90.00 90.00
Atoms (fractional coordinates):
Li 0.000 0.000 0.000
Ca 0.000 0.500 0.500
Ca 0.500 0.000 0.500
Ga 0.500 0.500 0.000
H 0.000 0.000 0.500

=====

The energy of each structure relative to the most stable one, in eV/atom, is as follows: i 0.187; ii 0.000.

=====

## i
A relaxed Ca2GaHPb crystal, computed with PBE-GGA.

Output
- volume (Å³/atom) = 22.05
- DOS(E_F) (states/eV per cell) = 1.50

abc: 4.912 4.912 4.569
angles: 90.00 90.00 90.00
Atoms (fractional coordinates):
Ca 0.000 0.500 0.000
Ca 0.500 0.000 0.000
Ga 0.000 0.000 0.500
H 0.000 0.000 0.000
Pb 0.500 0.500 0.500

=====

## ii
A relaxed Ca2GaHPb crystal, computed with PBE-GGA.

Output
- volume (Å³/atom) = 25.99
- DOS(E_F) (states/eV per cell) = 5.27

abc: 5.949 5.949 3.671
angles: 90.00 90.00 90.00
Atoms (fractional coordinates):
Ca 0.000 0.500 0.000
Ca 0.500 0.000 0.000
Ga 0.000 0.000 0.000
H 0.000 0.000 0.500
Pb 0.500 0.500 0.500

=====

The energy of each structure relative to the most stable one, in eV/atom, is as follows: i 0.000; ii 0.387.

=====

## i
A relaxed CaHfGa2 crystal, computed with PBE-GGA.

Output
- volume (Å³/atom) = 27.12
- DOS(E_F) (states/eV per cell) = 1.12

abc: 9.935 9.935 9.935
angles: 151.91 151.91 40.14
Atoms (fractional coordinates):
Ca 0.000 0.000 0.000
Ca 0.750 0.250 0.500
Hf 0.250 0.750 0.500
Hf 0.500 0.500 0.000
Ga 0.222 0.625 0.097
Ga 0.375 0.472 0.597
Ga 0.528 0.125 0.903
Ga 0.875 0.778 0.403

=====

## ii
A relaxed CaHfGa2 crystal, computed with PBE-GGA.

Output
- volume (Å³/atom) = 20.73
- DOS(E_F) (states/eV per cell) = 2.72

abc: 3.155 3.155 8.332
angles: 90.00 90.00 90.00
Atoms (fractional coordinates):
Ca 0.000 0.000 0.000
Hf 0.000 0.000 0.500
Ga 0.500 0.500 0.268
Ga 0.500 0.500 0.732

=====

## iii
A relaxed CaHfGa2 crystal, computed with PBE-GGA.

Output
- volume (Å³/atom) = 20.52
- DOS(E_F) (states/eV per cell) = 2.44

abc: 5.096 5.096 3.161
angles: 90.00 90.00 90.00
Atoms (fractional coordinates):
Ca 0.000 0.000 0.000
Hf 0.500 0.500 0.000
Ga 0.000 0.500 0.500
Ga 0.500 0.000 0.500

=====

The energy of each structure relative to the most stable one, in eV/atom, is as follows: i 0.609; ii 0.000; iii 0.081.

=====

## i
A relaxed CaHfGa2 crystal, computed with PBE-GGA.

Output
- volume (Å³/atom) = 23.77
- DOS(E_F) (states/eV per cell) = 3.76

abc: 5.996 5.996 5.996
angles: 44.16 44.16 44.16
Atoms (fractional coordinates):
Ca 0.000 0.000 0.000
Hf 0.500 0.500 0.500
Ga 0.227 0.227 0.227
Ga 0.773 0.773 0.773

=====

## ii
A relaxed CaHfGa2 crystal, computed with PBE-GGA.

Output
- volume (Å³/atom) = 20.78
- DOS(E_F) (states/eV per cell) = 2.90

abc: 4.899 4.899 4.899
angles: 60.00 60.00 60.00
Atoms (fractional coordinates):
Ca 0.000 0.000 0.000
Hf 0.500 0.500 0.500
Ga 0.250 0.250 0.250
Ga 0.750 0.750 0.750

=====

The energy of each structure relative to the most stable one, in eV/atom, is as follows: i 0.067; ii 0.000.

=====

## i
A relaxed CaHf2Ga2 crystal, computed with PBE-GGA.

Output
- volume (Å³/atom) = 25.43
- DOS(E_F) (states/eV per cell) = 2.35

abc: 6.190 6.190 6.190
angles: 132.33 132.33 69.71
Atoms (fractional coordinates):
Ca 0.000 0.000 0.000
Hf 0.341 0.341 0.000
Hf 0.659 0.659 0.000
Ga 0.250 0.750 0.500
Ga 0.750 0.250 0.500

=====

## ii
A relaxed CaHf2Ga2 crystal, computed with PBE-GGA.

Output
- volume (Å³/atom) = 21.58
- DOS(E_F) (states/eV per cell) = 4.38

abc: 8.281 8.281 3.146
angles: 90.00 90.00 90.00
Atoms (fractional coordinates):
Ca 0.000 0.000 0.000
Ca 0.500 0.500 0.000
Hf 0.131 0.369 0.500
Hf 0.369 0.869 0.500
Hf 0.631 0.131 0.500
Hf 0.869 0.631 0.500
Ga 0.166 0.666 0.000
Ga 0.334 0.166 0.000
Ga 0.666 0.834 0.000
Ga 0.834 0.334 0.000

=====

The energy of each structure relative to the most stable one, in eV/atom, is as follows: i 0.331; ii 0.000.

=====

## i
A relaxed CaGaHg3 crystal, computed with PBE-GGA.

Output
- volume (Å³/atom) = 28.60
- DOS(E_F) (states/eV per cell) = 2.72

abc: 5.229 5.229 5.229
angles: 90.00 90.00 90.00
Atoms (fractional coordinates):
Ca 0.000 0.000 0.000
Ga 0.500 0.500 0.500
Hg 0.000 0.500 0.500
Hg 0.500 0.000 0.500
Hg 0.500 0.500 0.000

=====

## ii
A relaxed CaGaHg3 crystal, computed with PBE-GGA.

Output
- volume (Å³/atom) = 24.98
- DOS(E_F) (states/eV per cell) = 5.82

abc: 13.671 13.671 4.990
angles: 90.71 90.71 15.54
Atoms (fractional coordinates):
Ca 0.075 0.075 0.255
Ca 0.925 0.925 0.745
Ga 0.371 0.371 0.243
Ga 0.629 0.629 0.757
Hg 0.217 0.217 0.759
Hg 0.325 0.325 0.740
Hg 0.472 0.472 0.248
Hg 0.528 0.528 0.752
Hg 0.675 0.675 0.260
Hg 0.783 0.783 0.241

=====

The energy of each structure relative to the most stable one, in eV/atom, is as follows: i 0.166; ii 0.000.

=====

## i
A relaxed Ca4Ga2Hg crystal, computed with PBE-GGA.

Output
- volume (Å³/atom) = 29.14
- DOS(E_F) (states/eV per cell) = 7.91

abc: 9.119 9.119 9.119
angles: 33.34 33.34 33.34
Atoms (fractional coordinates):
Ca 0.123 0.123 0.123
Ca 0.374 0.374 0.374
Ca 0.626 0.626 0.626
Ca 0.877 0.877 0.877
Ga 0.249 0.249 0.249
Ga 0.751 0.751 0.751
Hg 0.500 0.500 0.500

=====

## ii
A relaxed Ca4Ga2Hg crystal, computed with PBE-GGA.

Output
- volume (Å³/atom) = 35.48
- DOS(E_F) (states/eV per cell) = 7.17

abc: 8.381 8.381 8.381
angles: 139.26 139.26 58.98
Atoms (fractional coordinates):
Ca 0.000 0.500 0.500
Ca 0.207 0.207 0.000
Ca 0.500 0.000 0.500
Ca 0.793 0.793 0.000
Ga 0.410 0.410 0.000
Ga 0.590 0.590 0.000
Hg 0.000 0.000 0.000

=====

The energy of each structure relative to the most stable one, in eV/atom, is as follows: i 0.000; ii 0.246.

=====

## i
A relaxed CaGa3Hg crystal, computed with PBE-GGA.

Output
- volume (Å³/atom) = 37.33
- DOS(E_F) (states/eV per cell) = 6.16

abc: 5.715 5.715 5.715
angles: 90.00 90.00 90.00
Atoms (fractional coordinates):
Ca 0.000 0.000 0.000
Ga 0.000 0.000 0.500
Ga 0.000 0.500 0.000
Ga 0.500 0.000 0.000
Hg 0.500 0.500 0.500

=====

## ii
A relaxed CaGa3Hg crystal, computed with PBE-GGA.

Output
- volume (Å³/atom) = 21.94
- DOS(E_F) (states/eV per cell) = 3.49

abc: 6.130 6.082 6.633
angles: 90.00 117.47 90.00
Atoms (fractional coordinates):
Ca 0.249 0.250 0.498
Ca 0.751 0.750 0.502
Ga 0.132 0.750 0.262
Ga 0.246 0.001 0.000
Ga 0.246 0.499 0.000
Ga 0.754 0.501 0.000
Ga 0.754 0.999 0.000
Ga 0.868 0.250 0.738
Hg 0.353 0.750 0.707
Hg 0.647 0.250 0.293

=====

## iii
A relaxed CaGa3Hg crystal, computed with PBE-GGA.

Output
- volume (Å³/atom) = 28.83
- DOS(E_F) (states/eV per cell) = 2.27

abc: 5.243 5.243 5.243
angles: 90.00 90.00 90.00
Atoms (fractional coordinates):
Ca 0.000 0.000 0.000
Ga 0.000 0.500 0.500
Ga 0.500 0.000 0.500
Ga 0.500 0.500 0.000
Hg 0.500 0.500 0.500

=====

The energy of each structure relative to the most stable one, in eV/atom, is as follows: i 0.978; ii 0.000; iii 0.544.